Entry 1:
{"formula": "Li2InAg2Au2", "functional": "PBE", "state": "relaxed", "cell": [[-1.1188, -4.4808, -0.3804], [2.2354, -2.6968, -3.0338], [4.8396, -3.9013, 3.4949]], "species": ["Ag", "Ag", "Li", "Au", "Li", "Au", "In"], "fractional_positions": [[0.4211, 0.4211, 0.7368], [0.5789, 0.5789, 0.2632], [0.2744, 0.2744, 0.1768], [0.1401, 0.1401, 0.5796], [0.7256, 0.7256, 0.8232], [0.8599, 0.8599, 0.4204], [0.0000, 0.0000, 0.0000]]}



Entry 2:
{"formula": "La4TbPr5", "functional": "PBE", "state": "relaxed", "cell": [[6.0859, 0.0000, 0.0000], [0.0000, 10.8174, 0.0000], [0.0000, 0.0000, 10.8230]], "species": ["Pr", "Tb", "Tb", "Pr", "Pr", "Pr", "La", "La", "Pr", "Pr", "La", "La", "Pr", "La", "La", "Pr", "Pr", "La", "La", "Pr"], "fractional_positions": [[0.1535, 0.1591, 0.8410], [0.6683, 0.0000, 0.0000], [0.3317, 0.5000, 0.5000], [0.1535, 0.8409, 0.8410], [0.8465, 0.6591, 0.3410], [0.8465, 0.3409, 0.3410], [0.3713, 0.7996, 0.5000], [0.6294, 0.0000, 0.7006], [0.9999, 0.5000, 0.0000], [0.8465, 0.3409, 0.6590], [0.3713, 0.2004, 0.5000], [0.6294, 0.0000, 0.2994], [0.1535, 0.8409, 0.1590], [0.6287, 0.7004, 0.0000], [0.3706, 0.5000, 0.2006], [0.8465, 0.6591, 0.6590], [0.1535, 0.1591, 0.1590], [0.3706, 0.5000, 0.7994], [0.6287, 0.2996, 0.0000], [0.0001, 0.0000, 0.5000]], "relative_energy_mev_per_atom": 127}



| no. | formation enthalpy at 0 K (eV/atom) | uncorrected energy (Ry per atom) |
| --- | --- | --- |
| 1 | -0.2400 | -0.21528 |
| 2 | 0.1398 | -0.34427 |